No. 1
First-principles (SCAN) data for a PBEsol-optimized structure of Fe2Ni3, as listed in Alexandria via LeMat-Bulk.

Calculated values
The total moment is 1.518 μB/atom. Its total DFT energy (no corrections) is -16.9990 eV per atom. The value obtained for the density of states at the Fermi level is 4.10 states/eV/f.u.

a = 10.2184 Å, b = 10.2184 Å, c = 10.2184 Å
α = 13.83°, β = 13.83°, γ = 13.83°
Last column: nearest neighbours and their distance in Å.
Sites, in units of the cell vectors:
Fe 0.0996 0.0996 0.0996  6 Ni 2.46-2.48, 6 Fe 2.46
Fe 0.9004 0.9004 0.9004  6 Ni 2.46-2.48, 6 Fe 2.46
Ni 0.2998 0.2998 0.2998  3 Fe 2.46, 9 Ni 2.46-2.48
Ni 0.5000 0.5000 0.5000  6 Ni 2.46, 6 Fe 2.48
Ni 0.7002 0.7002 0.7002  3 Fe 2.46, 9 Ni 2.46-2.48

No. 2
First-principles (SCAN) data for a PBEsol-optimized structure of FeNi3, as listed in Alexandria via LeMat-Bulk.

Calculated values
The total moment is 1.235 μB/atom. Its total DFT energy (no corrections) is -16.6894 eV per atom. The value obtained for the density of states at the Fermi level is 3.08 states/eV/f.u.

a = 2.4580 Å, b = 2.4580 Å, c = 8.0342 Å
α = 90.00°, β = 90.00°, γ = 120.00°
Last column: nearest neighbours and their distance in Å.
Sites, in units of the cell vectors:
Fe 0.0000 0.0000 0.0000  6 Ni 2.45, 6 Fe 2.46
Ni 0.0000 0.0000 0.5000  12 Ni 2.46-2.47
Ni 0.3333 0.6667 0.2489  3 Fe 2.45, 9 Ni 2.46-2.47
Ni 0.3333 0.6667 0.7511  3 Fe 2.45, 9 Ni 2.46-2.47

No. 3
First-principles (SCAN) data for a PBEsol-optimized structure of Fe2Ni, as listed in Alexandria via LeMat-Bulk.

Calculated values
The total moment is 2.000 μB/atom. Its total DFT energy (no corrections) is -17.4544 eV per atom. The value obtained for the density of states at the Fermi level is 2.55 states/eV/f.u.

a = 4.7768 Å, b = 4.7768 Å, c = 5.9765 Å
α = 105.65°, β = 105.65°, γ = 29.45°
Last column: nearest neighbours and their distance in Å.
Sites, in units of the cell vectors:
Fe 0.0000 0.0000 0.0000  7 Fe 2.43-2.54, 5 Ni 2.46-2.51
Fe 0.0603 0.0603 0.6111  8 Fe 2.43-2.55, 4 Ni 2.46-2.47
Fe 0.3339 0.3339 0.6644  9 Fe 2.43-2.51, 3 Ni 2.50-2.53
Fe 0.6750 0.6750 0.3264  8 Fe 2.43-2.55, 4 Ni 2.44-2.51
Ni 0.3959 0.3959 0.2780  4 Ni 2.43-2.48, 8 Fe 2.46-2.53
Ni 0.7254 0.7254 0.9462  4 Ni 2.43-2.48, 8 Fe 2.44-2.51

No. 4
First-principles (SCAN) data for a PBEsol-optimized structure of FeNi3, as listed in Alexandria via LeMat-Bulk.

Calculated values
The total moment is 1.275 μB/atom. Its total DFT energy (no corrections) is -16.7909 eV per atom. The value obtained for the density of states at the Fermi level is 2.53 states/eV/f.u.

a = 3.9888 Å, b = 4.9438 Å, c = 4.2798 Å
α = 90.00°, β = 90.00°, γ = 90.00°
Last column: nearest neighbours and their distance in Å.
Sites, in units of the cell vectors:
Fe 0.2500 0.2500 0.1665  12 Ni 2.46-2.47
Fe 0.7500 0.7500 0.8335  12 Ni 2.46-2.47
Ni 0.2500 0.0015 0.6675  8 Ni 2.44-2.49, 4 Fe 2.46-2.47
Ni 0.2500 0.4985 0.6675  8 Ni 2.44-2.49, 4 Fe 2.46-2.47
Ni 0.2500 0.7500 0.1698  8 Ni 2.44-2.48, 4 Fe 2.46-2.47
Ni 0.7500 0.2500 0.8302  8 Ni 2.44-2.48, 4 Fe 2.46-2.47
Ni 0.7500 0.5015 0.3325  8 Ni 2.44-2.49, 4 Fe 2.46-2.47
Ni 0.7500 0.9985 0.3325  8 Ni 2.44-2.49, 4 Fe 2.46-2.47

No. 5
First-principles (SCAN) data for a PBEsol-optimized structure of Fe3Ni, as listed in Alexandria via LeMat-Bulk.

Calculated values
The total moment is 2.219 μB/atom. Its total DFT energy (no corrections) is -17.7188 eV per atom. The value obtained for the density of states at the Fermi level is 2.41 states/eV/f.u.

a = 2.4176 Å, b = 3.9687 Å, c = 4.6380 Å
α = 90.00°, β = 99.85°, γ = 90.00°
Last column: nearest neighbours and their distance in Å.
Sites, in units of the cell vectors:
Fe 0.0000 0.0000 0.0000  6 Fe 2.41-2.42, 2 Ni 2.42
Fe 0.2417 0.5000 0.7532  6 Fe 2.41-2.44, 2 Ni 2.44
Fe 0.7583 0.5000 0.2468  6 Fe 2.41-2.44, 2 Ni 2.44
Ni 0.5000 0.0000 0.5000  2 Ni 2.42, 6 Fe 2.42-2.44

No. 6
First-principles (SCAN) data for a PBEsol-optimized structure of Fe2Ni, as listed in Alexandria via LeMat-Bulk.

Calculated values
The total moment is 2.054 μB/atom. Its total DFT energy (no corrections) is -17.5255 eV per atom. The value obtained for the density of states at the Fermi level is 2.74 states/eV/f.u.

a = 3.9576 Å, b = 3.9576 Å, c = 2.4139 Å
α = 90.00°, β = 90.00°, γ = 120.00°
Last column: nearest neighbours and their distance in Å.
Sites, in units of the cell vectors:
Fe 0.3333 0.6667 0.3496  5 Fe 2.40-2.41, 3 Ni 2.44
Fe 0.6667 0.3333 0.6504  5 Fe 2.40-2.41, 3 Ni 2.44
Ni 0.0000 0.0000 0.0000  2 Ni 2.41, 6 Fe 2.44

No. 7
First-principles (SCAN) data for a PBEsol-optimized structure of FeNi3, as listed in Alexandria via LeMat-Bulk.

Calculated values
The total moment is 1.272 μB/atom. Its total DFT energy (no corrections) is -16.7915 eV per atom. The value obtained for the density of states at the Fermi level is 3.53 states/eV/f.u.

a = 4.2669 Å, b = 4.2669 Å, c = 4.2669 Å
α = 131.87°, β = 131.87°, γ = 70.43°
Last column: nearest neighbours and their distance in Å.
Sites, in units of the cell vectors:
Fe 0.0000 0.0000 0.0000  12 Ni 2.46
Ni 0.2500 0.7500 0.5000  8 Ni 2.46, 4 Fe 2.46
Ni 0.5000 0.5000 0.0000  4 Fe 2.46, 8 Ni 2.46
Ni 0.7500 0.2500 0.5000  8 Ni 2.46, 4 Fe 2.46

No. 8
First-principles (SCAN) data for a PBEsol-optimized structure of Fe3Ni, as listed in Alexandria via LeMat-Bulk.

Calculated values
The total moment is 2.224 μB/atom. Its total DFT energy (no corrections) is -17.7273 eV per atom. The value obtained for the density of states at the Fermi level is 2.10 states/eV/f.u.

a = 4.6477 Å, b = 4.6477 Å, c = 4.6477 Å
α = 117.05°, β = 117.05°, γ = 117.05°
Last column: nearest neighbours and their distance in Å.
Sites, in units of the cell vectors:
Fe 0.0000 0.5000 0.5000  6 Fe 2.42-2.43, 2 Ni 2.43
Fe 0.5000 0.0000 0.5000  6 Fe 2.42-2.43, 2 Ni 2.43
Fe 0.5000 0.5000 0.0000  6 Fe 2.42-2.43, 2 Ni 2.43
Ni 0.0000 0.0000 0.0000  2 Ni 2.42, 6 Fe 2.43

No. 9
First-principles (SCAN) data for a PBEsol-optimized structure of FeNi3, as listed in Alexandria via LeMat-Bulk.

Calculated values
The total moment is 1.277 μB/atom. Its total DFT energy (no corrections) is -16.7500 eV per atom. The value obtained for the density of states at the Fermi level is 3.01 states/eV/f.u.

a = 4.2735 Å, b = 4.2735 Å, c = 2.4582 Å
α = 90.00°, β = 90.00°, γ = 109.83°
Last column: nearest neighbours and their distance in Å.
Sites, in units of the cell vectors:
Fe 0.0000 0.0000 0.0000  10 Ni 2.46-2.47, 2 Fe 2.46
Ni 0.0000 0.5000 0.5000  8 Ni 2.46-2.47, 4 Fe 2.47
Ni 0.5000 0.0000 0.5000  8 Ni 2.46-2.47, 4 Fe 2.47
Ni 0.5000 0.5000 0.0000  2 Fe 2.46, 10 Ni 2.46-2.47

No. 10
First-principles (SCAN) data for a PBEsol-optimized structure of Fe3Ni, as listed in Alexandria via LeMat-Bulk.

Calculated values
The total moment is 2.153 μB/atom. Its total DFT energy (no corrections) is -17.6212 eV per atom. The value obtained for the density of states at the Fermi level is 4.16 states/eV/f.u.

a = 3.4756 Å, b = 3.4756 Å, c = 3.4756 Å
α = 90.00°, β = 90.00°, γ = 90.00°
Last column: nearest neighbours and their distance in Å.
Sites, in units of the cell vectors:
Fe 0.0000 0.0000 0.5000  8 Fe 2.46, 4 Ni 2.46
Fe 0.0000 0.5000 0.0000  8 Fe 2.46, 4 Ni 2.46
Fe 0.5000 0.0000 0.0000  8 Fe 2.46, 4 Ni 2.46
Ni 0.5000 0.5000 0.5000  12 Fe 2.46

No. 11
First-principles (SCAN) data for a PBEsol-optimized structure of Fe3Ni, as listed in Alexandria via LeMat-Bulk.

Calculated values
The total moment is 2.272 μB/atom. Its total DFT energy (no corrections) is -17.7178 eV per atom. The value obtained for the density of states at the Fermi level is 2.83 states/eV/f.u.

a = 2.8351 Å, b = 2.8351 Å, c = 5.5051 Å
α = 90.00°, β = 90.00°, γ = 90.00°
Last column: nearest neighbours and their distance in Å.
Sites, in units of the cell vectors:
Fe 0.0000 0.0000 0.0000  8 Fe 2.43
Fe 0.5000 0.5000 0.2482  4 Fe 2.43, 4 Ni 2.44
Fe 0.5000 0.5000 0.7518  4 Fe 2.43, 4 Ni 2.44
Ni 0.0000 0.0000 0.5000  8 Fe 2.44

No. 12
First-principles (SCAN) data for a PBEsol-optimized structure of Fe3Ni, as listed in Alexandria via LeMat-Bulk.

Calculated values
The total moment is 2.154 μB/atom. Its total DFT energy (no corrections) is -17.6235 eV per atom. The value obtained for the density of states at the Fermi level is 3.81 states/eV/f.u.

a = 7.4476 Å, b = 7.4476 Å, c = 7.4476 Å
α = 153.12°, β = 153.12°, γ = 38.38°
Last column: nearest neighbours and their distance in Å.
Sites, in units of the cell vectors:
Fe 0.0000 0.5000 0.5000  8 Fe 2.43-2.45, 4 Ni 2.47
Fe 0.1210 0.1210 0.0000  8 Fe 2.43-2.51, 4 Ni 2.45
Fe 0.2500 0.7500 0.5000  8 Fe 2.45-2.51, 4 Ni 2.47
Fe 0.5000 0.0000 0.5000  8 Fe 2.43-2.45, 4 Ni 2.47
Fe 0.7500 0.2500 0.5000  8 Fe 2.45-2.51, 4 Ni 2.47
Fe 0.8790 0.8790 0.0000  8 Fe 2.43-2.51, 4 Ni 2.45
Ni 0.3752 0.3752 0.0000  12 Fe 2.45-2.47
Ni 0.6248 0.6248 0.0000  12 Fe 2.45-2.47

No. 13
First-principles (SCAN) data for a PBEsol-optimized structure of Fe3Ni, as listed in Alexandria via LeMat-Bulk.

Calculated values
The total moment is 0.915 μB/atom. Its total DFT energy (no corrections) is -17.4460 eV per atom. The value obtained for the density of states at the Fermi level is 3.96 states/eV/f.u.

a = 8.1314 Å, b = 8.1314 Å, c = 8.1314 Å
α = 17.12°, β = 17.12°, γ = 17.12°
Last column: nearest neighbours and their distance in Å.
Sites, in units of the cell vectors:
Fe 0.0000 0.0000 0.0000  12 Fe 2.42
Fe 0.2512 0.2512 0.2512  9 Fe 2.42, 3 Ni 2.47
Fe 0.7488 0.7488 0.7488  9 Fe 2.42, 3 Ni 2.47
Ni 0.5000 0.5000 0.5000  6 Ni 2.42, 6 Fe 2.47

No. 14
First-principles (SCAN) data for a PBEsol-optimized structure of Fe8Ni, as listed in Alexandria via LeMat-Bulk.

Calculated values
The total moment is 2.429 μB/atom. Its total DFT energy (no corrections) is -17.9820 eV per atom. The value obtained for the density of states at the Fermi level is 3.32 states/eV/f.u.

a = 6.0988 Å, b = 6.0988 Å, c = 6.0988 Å
α = 93.02°, β = 93.02°, γ = 153.45°
Last column: nearest neighbours and their distance in Å.
Sites, in units of the cell vectors:
Fe 0.0000 0.3334 0.3334  8 Fe 2.42
Fe 0.0000 0.6666 0.6666  8 Fe 2.42
Fe 0.3334 0.0000 0.3334  8 Fe 2.42
Fe 0.3327 0.3327 0.6654  6 Fe 2.41-2.42, 2 Ni 2.43
Fe 0.3327 0.6673 0.0000  6 Fe 2.41-2.42, 2 Ni 2.43
Fe 0.6666 0.0000 0.6666  8 Fe 2.42
Fe 0.6673 0.3327 0.0000  6 Fe 2.41-2.42, 2 Ni 2.43
Fe 0.6673 0.6673 0.3346  6 Fe 2.41-2.42, 2 Ni 2.43
Ni 0.0000 0.0000 0.0000  8 Fe 2.43

No. 15
First-principles (SCAN) data for a PBEsol-optimized structure of FeNi3, as listed in Alexandria via LeMat-Bulk.

Calculated values
The total moment is 1.256 μB/atom. Its total DFT energy (no corrections) is -16.7367 eV per atom. The value obtained for the density of states at the Fermi level is 3.70 states/eV/f.u.

a = 4.2608 Å, b = 4.2608 Å, c = 4.2778 Å
α = 99.44°, β = 99.44°, γ = 33.49°
Last column: nearest neighbours and their distance in Å.
Sites, in units of the cell vectors:
Fe 0.0000 0.0000 0.0000  2 Fe 2.45, 10 Ni 2.46-2.47
Ni 0.2497 0.2497 0.7486  9 Ni 2.45-2.48, 3 Fe 2.46-2.47
Ni 0.5000 0.5000 0.5000  8 Ni 2.45-2.46, 4 Fe 2.47
Ni 0.7503 0.7503 0.2514  9 Ni 2.45-2.48, 3 Fe 2.46-2.47

In eV per atom, the formation enthalpy at 0 K values for the records above are, in order, -0.043 -0.027 0.023 -0.128 -0.078 -0.048 -0.129 -0.087 -0.088 0.019 -0.077 0.017 0.194 -0.070 -0.074.
In Å³ per atom, the calculated volume values for the records above are, in order, 10.6 10.5 10.7 10.5 11.0 10.9 10.6 11.0 10.6 10.5 11.1 10.5 10.2 11.0 10.6.